Entry from Alexandria: RhBrO2 at its PBEsol-relaxed geometry (meta-GGA SCAN).

The calculation puts the uncorrected formation energy at 0.2673 eV/atom.

The structure belongs to space group R-3m (No. 166, hexagonal axes); the cell edges are 2.9371, 2.9371 and 27.4936 Å and the angles 90.00°, 90.00° and 120.00°. The distinct sites, in fractional coordinates, are Rh at (0.0000, 0.0000, 0.0000), Br at (0.0000, 0.0000, 0.5000) and O at (0.0000, 0.0000, 0.0618).